# 1
LaTbSm4 after structural relaxation, computed with PBE-GGA.

The calculation puts the energy relative to the elements at 1.52 eV per formula unit. The value obtained for the spin magnetization is 0.0 μB per formula unit. The density of states at the Fermi level is 43.4 states/eV per cell. The final energy comes out at -4.49 eV/atom.

The structure belongs to space group F-43m (No. 216); the cell edges are 9.469, 9.469 and 9.469 Å and the angles 90.00°, 90.00° and 90.00°. The asymmetric unit holds La at (0.000, 0.000, 0.000), Tb at (0.250, 0.250, 0.750) and Sm at (0.124, 0.124, 0.376).

# 2
La2TbSm3 after structural relaxation, computed with PBE-GGA.

The calculation puts the energy relative to the elements at 0.38 eV per formula unit. The value obtained for the spin magnetization is 0.0 μB per formula unit. The density of states at the Fermi level is 19.2 states/eV per cell. The final energy comes out at -4.71 eV/atom.

The structure belongs to space group Pnnm (No. 58); the cell edges are 7.121, 10.010 and 5.794 Å and the angles 90.00°, 90.00° and 90.00°. The asymmetric unit holds La at (0.249, 0.167, 0.000), Tb at (0.000, 0.000, 0.500), Sm at (0.000, 0.500, 0.000) and Sm at (0.250, 0.333, 0.500).

Copy entry 1 word for word.
LaTbSm4 after structural relaxation, computed with PBE-GGA.

The calculation puts the energy relative to the elements at 1.52 eV per formula unit. The value obtained for the spin magnetization is 0.0 μB per formula unit. The density of states at the Fermi level is 43.4 states/eV per cell. The final energy comes out at -4.49 eV/atom.

The structure belongs to space group F-43m (No. 216); the cell edges are 9.469, 9.469 and 9.469 Å and the angles 90.00°, 90.00° and 90.00°. The asymmetric unit holds La at (0.000, 0.000, 0.000), Tb at (0.250, 0.250, 0.750) and Sm at (0.124, 0.124, 0.376).

Repeat the second record exactly.
La2TbSm3 after structural relaxation, computed with PBE-GGA.

The calculation puts the energy relative to the elements at 0.38 eV per formula unit. The value obtained for the spin magnetization is 0.0 μB per formula unit. The density of states at the Fermi level is 19.2 states/eV per cell. The final energy comes out at -4.71 eV/atom.

The structure belongs to space group Pnnm (No. 58); the cell edges are 7.121, 10.010 and 5.794 Å and the angles 90.00°, 90.00° and 90.00°. The asymmetric unit holds La at (0.249, 0.167, 0.000), Tb at (0.000, 0.000, 0.500), Sm at (0.000, 0.500, 0.000) and Sm at (0.250, 0.333, 0.500).

Question: Look up the spin magnetization of the second one.
Answer: 0.0 μB per formula unit

Copy entry 1 word for word.
LaTbSm4 after structural relaxation, computed with PBE-GGA.

The calculation puts the energy relative to the elements at 1.52 eV per formula unit. The value obtained for the spin magnetization is 0.0 μB per formula unit. The density of states at the Fermi level is 43.4 states/eV per cell. The final energy comes out at -4.49 eV/atom.

The structure belongs to space group F-43m (No. 216); the cell edges are 9.469, 9.469 and 9.469 Å and the angles 90.00°, 90.00° and 90.00°. The asymmetric unit holds La at (0.000, 0.000, 0.000), Tb at (0.250, 0.250, 0.750) and Sm at (0.124, 0.124, 0.376).